(1)
A plane-wave DFT calculation with GGA-PBEsol was carried out for a geometry-optimized TaCr2FeF structure.

Cell: 4.1889 3.8050 3.8050 Å, 90.00 90.00 90.00°
Last column: nearest neighbours and their distance in Å.
Atoms (fractional coordinates):
Cr  0.0000  0.5000  0.0000  2 F 1.90
Ta  0.5000  0.0000  0.0000  2 F 2.09
F  0.0000  0.0000  0.0000  4 Cr 1.90, 2 Ta 2.09
Fe  0.5000  0.5000  0.5000  4 Ta 2.69, 8 Cr 2.83
Cr  0.0000  0.0000  0.5000  2 F 1.90

Calculated values
Formation energy without anion corrections   0.4229 eV/atom
Space group   P4/mmm (123)
E_tot   -8.36 eV/atom

---

(2)
A plane-wave DFT calculation with GGA-PBEsol was carried out for a geometry-optimized CrGe3F structure.

Cell: 4.4195 4.4195 4.4195 Å, 90.00 90.00 90.00°
Last column: nearest neighbours and their distance in Å.
Atoms (fractional coordinates):
Ge  0.0000  0.5000  0.0000  2 F 2.21
F  0.0000  0.0000  0.0000  6 Ge 2.21
Ge  0.5000  0.0000  0.0000  2 F 2.21
Cr  0.5000  0.5000  0.5000  12 Ge 3.13
Ge  0.0000  0.0000  0.5000  2 F 2.21

Calculated values
Formation energy without anion corrections   0.2100 eV/atom
Space group   Pm-3m (221)
E_tot   -5.19 eV/atom

---

(3)
A plane-wave DFT calculation with GGA-PBEsol was carried out for a geometry-optimized Cr2NiGeF structure.

Cell: 4.1687 4.1687 3.9663 Å, 90.00 90.00 90.00°
Last column: nearest neighbours and their distance in Å.
Atoms (fractional coordinates):
Ni  0.0000  0.0000  0.5000  2 F 1.98
Cr  0.5000  0.0000  0.0000  2 F 2.08
F  0.0000  0.0000  0.0000  2 Ni 1.98, 4 Cr 2.08
Ge  0.5000  0.5000  0.5000  8 Cr 2.88, 4 Ni 2.95
Cr  0.0000  0.5000  0.0000  2 F 2.08

Calculated values
Formation energy without anion corrections   0.2850 eV/atom
Space group   P4/mmm (123)
E_tot   -6.42 eV/atom

---

(4)
A plane-wave DFT calculation with GGA-PBEsol was carried out for a geometry-optimized CrGePdF2 structure.

Cell: 3.7102 3.7102 5.5846 Å, 90.00 90.00 90.00°
Last column: nearest neighbours and their distance in Å.
Atoms (fractional coordinates):
Ge  0.5000  0.5000  0.5000  4 Pd 2.62
F  0.0000  0.5000  0.0000  2 Cr 1.86
Pd  0.0000  0.0000  0.5000  4 Ge 2.62, 2 Cr 2.79
F  0.5000  0.0000  0.0000  2 Cr 1.86
Cr  0.0000  0.0000  0.0000  4 F 1.86

Calculated values
Formation energy without anion corrections   -1.1078 eV/atom
Space group   P4/mmm (123)
E_tot   -6.11 eV/atom

---

(5)
A plane-wave DFT calculation with GGA-PBEsol was carried out for a geometry-optimized CrH3F structure.

Cell: 3.3325 3.3325 3.3325 Å, 90.00 90.00 90.00°
Last column: nearest neighbours and their distance in Å.
Atoms (fractional coordinates):
H  0.0000  0.0000  0.5000  2 F 1.67
H  0.0000  0.5000  0.0000  2 F 1.67
H  0.5000  0.0000  0.0000  2 F 1.67
Cr  0.5000  0.5000  0.5000  12 H 2.36
F  0.0000  0.0000  0.0000  6 H 1.67

Calculated values
Space group   Pm-3m (221)
E_tot   -3.58 eV/atom

---

(6)
A plane-wave DFT calculation with GGA-PBEsol was carried out for a geometry-optimized K2CrH2F8 structure.

Cell: 5.2661 7.9567 8.4663 Å, 90.00 92.51 90.00°
Last column: nearest neighbours and their distance in Å.
Atoms (fractional coordinates):
F  0.3199  0.9906  0.3138  1 Cr 1.81
F  0.7806  0.9372  0.4022  1 Cr 1.80
K  0.9281  0.1841  0.2033  9 F 2.71-2.93
H  0.6384  0.6753  0.5556  1 F 1.01
F  0.1939  0.3853  0.4352  1 H 1.01
F  0.8061  0.6147  0.5648  1 H 1.01
F  0.4198  0.7715  0.5392  1 H 1.38
F  0.6801  0.4906  0.1862  1 Cr 1.81
K  0.9281  0.3159  0.7033  9 F 2.71-2.93
H  0.6384  0.8247  0.0556  1 F 1.01
F  0.6801  0.0094  0.6862  1 Cr 1.81
F  0.3199  0.5094  0.8138  1 Cr 1.81
F  0.2194  0.0628  0.5978  1 Cr 1.80
Cr  0.5000  0.0000  0.5000  6 F 1.80-1.90
K  0.0719  0.8159  0.7967  9 F 2.71-2.93
F  0.2194  0.4372  0.0978  1 Cr 1.80
F  0.5802  0.2715  0.9608  1 H 1.38
F  0.7806  0.5628  0.9022  1 Cr 1.80
Cr  0.5000  0.5000  0.0000  6 F 1.80-1.90
H  0.3616  0.3247  0.4444  1 F 1.01
F  0.1939  0.1147  0.9352  1 H 1.01
K  0.0719  0.6841  0.2967  9 F 2.71-2.93
F  0.8061  0.8853  0.0648  1 H 1.01
H  0.3616  0.1753  0.9444  1 F 1.01
F  0.4198  0.7285  0.0392  1 H 1.38
F  0.5802  0.2285  0.4608  1 H 1.38

Calculated values
Space group   P2_1/c (14)
E_tot   -5.08 eV/atom

---

(7)
A plane-wave DFT calculation with GGA-PBEsol was carried out for a geometry-optimized NaCrH8N2F6 structure.

Cell: 5.9727 5.9727 5.9727 Å, 60.00 60.00 60.00°
Last column: nearest neighbours and their distance in Å.
Atoms (fractional coordinates):
H  0.8207  0.8207  0.5379  1 N 1.03
H  0.4621  0.1793  0.1793  1 N 1.03
F  0.2256  0.7744  0.7744  1 Cr 1.91
F  0.2256  0.2256  0.7744  1 Cr 1.91
H  0.8207  0.5379  0.8207  1 N 1.03
Cr  0.0000  0.0000  0.0000  6 F 1.91
N  0.2500  0.2500  0.2500  4 H 1.03
H  0.1793  0.1793  0.1793  1 N 1.03
F  0.7744  0.2256  0.2256  1 Cr 1.91
H  0.8207  0.8207  0.8207  1 N 1.03
F  0.7744  0.2256  0.7744  1 Cr 1.91
Na  0.5000  0.5000  0.5000  6 F 2.32
H  0.1793  0.4621  0.1793  1 N 1.03
N  0.7500  0.7500  0.7500  4 H 1.03
F  0.7744  0.7744  0.2256  1 Cr 1.91
F  0.2256  0.7744  0.2256  1 Cr 1.91
H  0.1793  0.1793  0.4621  1 N 1.03
H  0.5379  0.8207  0.8207  1 N 1.03

Calculated values
Space group   Fm-3m (225)
E_tot   -5.26 eV/atom

---

(8)
A plane-wave DFT calculation with GGA-PBEsol was carried out for a geometry-optimized CrH20N2O6F5 structure.

Cell: 6.8502 6.8502 13.4090 Å, 90.00 90.00 120.00°
Last column: nearest neighbours and their distance in Å.
Atoms (fractional coordinates):
H  0.7403  0.9003  0.3456  1 O 1.02
H  0.4886  0.7969  0.2013  1 N 1.05
H  0.1600  0.9003  0.8456  1 O 1.02
F  0.7222  0.7222  0.7500  4 H 1.49-1.64
H  0.3083  0.7969  0.7013  1 N 1.05
Cr  0.0000  0.0000  0.5000  6 O 1.97
O  0.0918  0.8275  0.9130  2 H 1.02
N  0.6667  0.3333  0.8252  4 H 1.05
H  0.6917  0.4886  0.7987  1 N 1.05
H  0.3083  0.5114  0.2013  1 N 1.05
O  0.2643  0.0918  0.0870  2 H 1.02
H  0.1887  0.7666  0.9413  1 O 1.02
O  0.7357  0.9082  0.9130  2 H 1.02
H  0.6667  0.3333  0.4033  1 N 1.05
H  0.1887  0.4221  0.4413  1 O 1.02
O  0.1725  0.9082  0.4130  2 H 1.02
H  0.9003  0.1600  0.6544  1 O 1.02
H  0.7969  0.3083  0.7987  1 N 1.05
H  0.4221  0.2334  0.5587  1 O 1.02
O  0.1725  0.2643  0.9130  2 H 1.02
H  0.5779  0.8113  0.9413  1 O 1.02
O  0.8275  0.0918  0.5870  2 H 1.02
H  0.2031  0.5114  0.7013  1 N 1.05
H  0.1600  0.2597  0.3456  1 O 1.02
N  0.3333  0.6667  0.1748  4 H 1.05
F  0.6667  0.3333  0.5274  4 H 1.52-1.66
H  0.6667  0.3333  0.9033  1 N 1.05
F  0.2778  0.2778  0.2500  4 H 1.49-1.64
H  0.5114  0.3083  0.2987  1 N 1.05
H  0.7666  0.1887  0.5587  1 O 1.02
F  0.3333  0.6667  0.4726  4 H 1.52-1.66
H  0.8113  0.5779  0.5587  1 O 1.02
H  0.2597  0.1600  0.1544  1 O 1.02
H  0.0997  0.2597  0.8456  1 O 1.02
H  0.2031  0.6917  0.2013  1 N 1.05
O  0.9082  0.7357  0.5870  2 H 1.02
H  0.3333  0.6667  0.0967  1 N 1.05
O  0.8275  0.7357  0.0870  2 H 1.02
F  0.6667  0.3333  0.0274  4 H 1.52-1.66
H  0.4886  0.6917  0.7013  1 N 1.05
O  0.9082  0.1725  0.0870  2 H 1.02
F  0.2778  0.0000  0.7500  4 H 1.49-1.64
H  0.8113  0.2334  0.0587  1 O 1.02
H  0.3333  0.6667  0.5967  1 N 1.05
F  0.0000  0.7222  0.2500  4 H 1.49-1.64
H  0.5779  0.7666  0.4413  1 O 1.02
H  0.7969  0.4886  0.2987  1 N 1.05
H  0.8400  0.7403  0.6544  1 O 1.02
H  0.4221  0.1887  0.0587  1 O 1.02
H  0.2334  0.8113  0.4413  1 O 1.02
H  0.7403  0.8400  0.8456  1 O 1.02
O  0.7357  0.8275  0.4130  2 H 1.02
Cr  0.0000  0.0000  0.0000  6 O 1.97
H  0.2334  0.4221  0.9413  1 O 1.02
F  0.0000  0.2778  0.7500  4 H 1.49-1.64
N  0.6667  0.3333  0.3252  4 H 1.05
F  0.3333  0.6667  0.9726  4 H 1.52-1.66
H  0.2597  0.0997  0.6544  1 O 1.02
O  0.0918  0.2643  0.4130  2 H 1.02
F  0.7222  0.0000  0.2500  4 H 1.49-1.64
H  0.9003  0.7403  0.1544  1 O 1.02
H  0.8400  0.0997  0.1544  1 O 1.02
H  0.7666  0.5779  0.0587  1 O 1.02
H  0.0997  0.8400  0.3456  1 O 1.02
N  0.3333  0.6667  0.6748  4 H 1.05
O  0.2643  0.1725  0.5870  2 H 1.02
H  0.5114  0.2031  0.7987  1 N 1.05
H  0.6917  0.2031  0.2987  1 N 1.05

Calculated values
Space group   P-3c1 (165)
E_tot   -5.20 eV/atom

---

(9)
A plane-wave DFT calculation with GGA-PBEsol was carried out for a geometry-optimized Hf2Cr2F structure.

Cell: 3.2594 3.2594 7.7034 Å, 102.21 102.21 90.00°
Last column: nearest neighbours and their distance in Å.
Atoms (fractional coordinates):
F  0.0000  0.0000  0.0000  8 Hf 2.80
Cr  0.7500  0.2500  0.5000  4 Cr 2.30
Cr  0.2500  0.7500  0.5000  4 Cr 2.30
Hf  0.3924  0.3924  0.7848  4 Cr 2.65, 4 F 2.80
Hf  0.6076  0.6076  0.2152  4 Cr 2.65, 4 F 2.80

Calculated values
Formation energy without anion corrections   -0.0542 eV/atom
Space group   I4/mmm (139)
E_tot   -8.74 eV/atom

---

(10)
A plane-wave DFT calculation with GGA-PBEsol was carried out for a geometry-optimized HfCr2InF structure.

Cell: 4.6752 4.6752 5.5813 Å, 90.00 90.00 90.00°
Last column: nearest neighbours and their distance in Å.
Atoms (fractional coordinates):
F  0.5000  0.5000  0.5000  4 In 3.31, 8 Cr 3.64
Hf  0.0000  0.0000  0.0000  4 Cr 2.34
In  0.0000  0.0000  0.5000  2 Hf 2.79
Cr  0.0000  0.5000  0.0000  2 Hf 2.34
Cr  0.5000  0.0000  0.0000  2 Hf 2.34

Calculated values
Formation energy without anion corrections   1.3326 eV/atom
Space group   P4/mmm (123)
E_tot   -5.85 eV/atom

---

(11)
A plane-wave DFT calculation with GGA-PBEsol was carried out for a geometry-optimized HfCrN2F structure.

Cell: 3.9472 4.1592 4.1592 Å, 90.00 90.00 90.00°
Last column: nearest neighbours and their distance in Å.
Atoms (fractional coordinates):
N  0.0000  0.0000  0.5000  2 Hf 2.08
N  0.0000  0.5000  0.0000  2 Hf 2.08
F  0.5000  0.0000  0.0000  2 Hf 1.97
Hf  0.0000  0.0000  0.0000  2 F 1.97, 4 N 2.08
Cr  0.5000  0.5000  0.5000  8 N 2.87, 4 F 2.94

Calculated values
Formation energy without anion corrections   -0.5663 eV/atom
Space group   P4/mmm (123)
E_tot   -8.51 eV/atom

---

(12)
A plane-wave DFT calculation with GGA-PBEsol was carried out for a geometry-optimized HfCrO2F structure.

Cell: 3.7534 3.8112 3.8112 Å, 90.00 90.00 90.00°
Last column: nearest neighbours and their distance in Å.
Atoms (fractional coordinates):
F  0.5000  0.0000  0.0000  2 Cr 1.88
O  0.0000  0.5000  0.0000  2 Cr 1.91
Hf  0.5000  0.5000  0.5000  8 O 2.67, 4 F 2.69
O  0.0000  0.0000  0.5000  2 Cr 1.91
Cr  0.0000  0.0000  0.0000  2 F 1.88, 4 O 1.91

Calculated values
Formation energy without anion corrections   -1.4609 eV/atom
Space group   P4/mmm (123)
E_tot   -8.10 eV/atom

---

(13)
A plane-wave DFT calculation with GGA-PBEsol was carried out for a geometry-optimized CrHgF6 structure.

Cell: 5.1103 5.1103 5.5936 Å, 62.82 62.82 60.00°
Last column: nearest neighbours and their distance in Å.
Atoms (fractional coordinates):
F  0.4437  0.7081  0.7225  1 Cr 1.83
F  0.2919  0.8743  0.2775  1 Cr 1.83
F  0.7081  0.1257  0.7225  1 Cr 1.83
Cr  0.5000  0.5000  0.5000  6 F 1.83
F  0.5563  0.2919  0.2775  1 Cr 1.83
F  0.8743  0.5563  0.2775  1 Cr 1.83
F  0.1257  0.4437  0.7225  1 Cr 1.83
Hg  0.0000  0.0000  0.0000  6 F 2.30

Calculated values
Formation energy without anion corrections   -2.0459 eV/atom
Space group   R-3 (148)
E_tot   -4.84 eV/atom

---

(14)
A plane-wave DFT calculation with GGA-PBEsol was carried out for a geometry-optimized Cr2SnHgF structure.

Cell: 4.3225 4.3225 4.9638 Å, 90.00 90.00 90.00°
Last column: nearest neighbours and their distance in Å.
Atoms (fractional coordinates):
Hg  0.5000  0.5000  0.5000  4 Sn 3.06, 8 Cr 3.29
Sn  0.0000  0.0000  0.5000  2 F 2.48
F  0.0000  0.0000  0.0000  4 Cr 2.16
Cr  0.0000  0.5000  0.0000  2 F 2.16
Cr  0.5000  0.0000  0.0000  2 F 2.16

Calculated values
Formation energy without anion corrections   0.2111 eV/atom
Space group   P4/mmm (123)
E_tot   -5.24 eV/atom

---

(15)
A plane-wave DFT calculation with GGA-PBEsol was carried out for a geometry-optimized CrI2NF structure.

Cell: 3.6299 5.4153 5.4153 Å, 90.00 90.00 90.00°
Last column: nearest neighbours and their distance in Å.
Atoms (fractional coordinates):
I  0.0000  0.5000  0.0000  2 F 2.71
I  0.0000  0.0000  0.5000  2 F 2.71
F  0.0000  0.0000  0.0000  2 N 1.81
Cr  0.5000  0.5000  0.5000  8 I 3.26, 2 Cr 3.63
N  0.5000  0.0000  0.0000  2 F 1.81

Calculated values
Formation energy without anion corrections   1.1996 eV/atom
Space group   P4/mmm (123)
E_tot   -3.65 eV/atom

---

(16)
A plane-wave DFT calculation with GGA-PBEsol was carried out for a geometry-optimized CrIO2F structure.

Cell: 3.5756 3.5756 5.3662 Å, 90.00 90.00 90.00°
Last column: nearest neighbours and their distance in Å.
Atoms (fractional coordinates):
O  0.5000  0.0000  0.0000  2 Cr 1.79
F  0.5000  0.5000  0.5000  4 I 2.53
I  0.0000  0.0000  0.5000  4 F 2.53, 2 Cr 2.68
O  0.0000  0.5000  0.0000  2 Cr 1.79
Cr  0.0000  0.0000  0.0000  4 O 1.79

Calculated values
Formation energy without anion corrections   -1.0108 eV/atom
Space group   P4/mmm (123)
E_tot   -5.90 eV/atom

---

(17)
A plane-wave DFT calculation with GGA-PBEsol was carried out for a geometry-optimized CrTeI2F structure.

Cell: 4.1914 5.7274 5.7274 Å, 90.00 90.00 90.00°
Last column: nearest neighbours and their distance in Å.
Atoms (fractional coordinates):
I  0.0000  0.0000  0.5000  2 F 2.86
Te  0.5000  0.0000  0.0000  2 F 2.10
Cr  0.5000  0.5000  0.5000  8 I 3.55
I  0.0000  0.5000  0.0000  2 F 2.86
F  0.0000  0.0000  0.0000  2 Te 2.10

Calculated values
Formation energy without anion corrections   0.2313 eV/atom
Space group   P4/mmm (123)
E_tot   -3.61 eV/atom

---

(18)
A plane-wave DFT calculation with GGA-PBEsol was carried out for a geometry-optimized CrInF3 structure.

Cell: 4.3466 4.3466 4.3466 Å, 90.00 90.00 90.00°
Last column: nearest neighbours and their distance in Å.
Atoms (fractional coordinates):
F  0.5000  0.0000  0.0000  2 In 2.17
Cr  0.5000  0.5000  0.5000  12 F 3.07
In  0.0000  0.0000  0.0000  6 F 2.17
F  0.0000  0.5000  0.0000  2 In 2.17
F  0.0000  0.0000  0.5000  2 In 2.17

Calculated values
Formation energy without anion corrections   -1.2797 eV/atom
Space group   Pm-3m (221)
E_tot   -5.08 eV/atom

---

(19)
A plane-wave DFT calculation with GGA-PBEsol was carried out for a geometry-optimized CrInF2 structure.

Cell: 3.1070 3.1070 8.0437 Å, 78.86 78.86 60.00°
Last column: nearest neighbours and their distance in Å.
Atoms (fractional coordinates):
F  0.0799  0.0799  0.7604  1 Cr 1.88
In  0.5000  0.5000  0.5000  6 F 2.72
Cr  0.0000  0.0000  0.0000  2 F 1.88
F  0.9201  0.9201  0.2396  1 Cr 1.88

Calculated values
Formation energy without anion corrections   -1.2110 eV/atom
Space group   R-3m (166)
E_tot   -5.48 eV/atom

---

(20)
A plane-wave DFT calculation with GGA-PBEsol was carried out for a geometry-optimized CrIrN2F structure.

Cell: 3.7877 3.7877 4.3369 Å, 90.00 90.00 90.00°
Last column: nearest neighbours and their distance in Å.
Atoms (fractional coordinates):
F  0.0000  0.0000  0.5000  2 Ir 2.17
N  0.5000  0.0000  0.0000  2 Ir 1.89
Cr  0.5000  0.5000  0.5000  4 F 2.68, 8 N 2.88
N  0.0000  0.5000  0.0000  2 Ir 1.89
Ir  0.0000  0.0000  0.0000  4 N 1.89

Calculated values
Formation energy without anion corrections   0.5890 eV/atom
Space group   P4/mmm (123)
E_tot   -7.22 eV/atom